1.
Compound: Ce2PmY3Se6
Source: the Alexandria database
Functional: PBE-GGA
Structure: optimized geometry

abc: 7.139 7.139 7.248
angles: 99.44 99.44 120.08
Element x y z (fractional)
Ce  0.333  0.667  0.000
Ce  0.667  0.333  0.000
Pm  0.000  0.000  0.000
Y  0.164  0.836  0.500
Y  0.836  0.164  0.500
Y  0.500  0.500  0.500
Se  0.913  0.579  0.739
Se  0.752  0.752  0.259
Se  0.087  0.421  0.261
Se  0.579  0.913  0.739
Se  0.248  0.248  0.741
Se  0.421  0.087  0.261

Computed properties:
* ΔE_f (raw): -1807 meV/atom
* M_tot: 0.163 μB/atom
* space-group type: C2/m
* density: 6.4 Mg/m³

***

2.
Compound: TiBi2Mo
Source: the Alexandria database
Functional: PBE-GGA
Structure: optimized geometry

abc: 4.357 4.357 10.453
angles: 77.97 77.97 90.00
Element x y z (fractional)
Mo  0.000  0.000  0.000
Mo  0.750  0.250  0.500
Bi  0.627  0.125  0.250
Bi  0.123  0.625  0.250
Bi  0.375  0.373  0.750
Bi  0.875  0.877  0.750
Ti  0.500  0.500  0.000
Ti  0.250  0.750  0.500

Computed properties:
* energy of formation from the pure elements: 0.730 eV/atom
* M_tot: 0.000 μB/atom
* space-group type: I-42d
* distance to the lowest polymorph of the same formula: 0.383 eV per atom
* density: 9.8 Mg/m³

***

3.
Compound: Cr2Au
Source: the Alexandria database
Functional: PBE-GGA
Structure: optimized geometry

abc: 2.856 2.856 6.175
angles: 90.00 90.00 120.00
Element x y z (fractional)
Au  0.000  0.000  0.000
Cr  0.333  0.667  0.379
Cr  0.667  0.333  0.621

Computed properties:
* energy of formation from the pure elements: 0.333 eV/atom
* M_tot: 0.000 μB/atom
* space-group type: P-3m1
* density: 11.5 Mg/m³

***

4.
Compound: Ho5Er12Sc2
Source: the Alexandria database
Functional: PBE-GGA
Structure: optimized geometry

abc: 9.077 8.871 8.432
angles: 91.88 90.00 120.77
Element x y z (fractional)
Ho  0.231  0.463  0.569
Ho  0.296  0.592  0.977
Ho  0.000  0.000  0.500
Ho  0.704  0.408  0.023
Ho  0.769  0.537  0.431
Er  0.926  0.852  0.125
Er  0.034  0.706  0.764
Er  0.672  0.706  0.764
Er  0.177  0.741  0.323
Er  0.564  0.741  0.323
Er  0.444  0.888  0.665
Er  0.556  0.112  0.335
Er  0.823  0.259  0.677
Er  0.436  0.259  0.677
Er  0.966  0.294  0.236
Er  0.328  0.294  0.236
Er  0.074  0.148  0.875
Sc  0.668  0.000  0.000
Sc  0.332  0.000  0.000

Computed properties:
* energy of formation from the pure elements: 0.122 eV/atom
* M_tot: 0.000 μB/atom
* space-group type: C2/m
* distance to the lowest polymorph of the same formula: 0.035 eV per atom
* density: 8.3 Mg/m³

***

Let's list volume in order: 25.16, 23.71, 14.54, 30.68 Å³ per atom.
Let's list uncorrected energy in order: -6.5501, -5.8924, -7.1755, -4.6306 eV per atom.